1.
Compound: Eu6Np
Source: Alexandria
Functional: PBE-GGA
Structure: optimized geometry

a = 7.362 Å, b = 7.362 Å, c = 7.362 Å
α = 109.47°, β = 109.47°, γ = 109.47°
Fractional positions:
Eu1 0.250 0.500 0.750
Eu2 0.250 0.750 0.500
Eu3 0.500 0.250 0.750
Eu4 0.500 0.750 0.250
Eu5 0.750 0.250 0.500
Eu6 0.750 0.500 0.250
Np1 0.000 0.000 0.000

Values from the calculation:
E_tot ... -65.037 eV per formula unit
Energy of formation ... 1.36 eV/atom
D(E_F) ... 20.97 states/eV per cell
Volume ... 43.88 Å³/atom
Symmetry ... Im-3m, No. 229

=====

2.
Compound: EuNpOs4
Source: Alexandria
Functional: PBE-GGA
Structure: optimized geometry

a = 5.367 Å, b = 5.367 Å, c = 5.367 Å
α = 60.00°, β = 60.00°, γ = 60.00°
Fractional positions:
Eu1 0.000 0.000 0.000
Np1 0.250 0.250 0.250
Os1 0.125 0.625 0.625
Os2 0.625 0.125 0.625
Os3 0.625 0.625 0.125
Os4 0.625 0.625 0.625

Values from the calculation:
E_tot ... -67.523 eV per formula unit
Energy of formation ... 0.10 eV/atom
D(E_F) ... 17.33 states/eV per cell
Volume ... 18.22 Å³/atom
Symmetry ... F-43m, No. 216

=====

3.
Compound: EuNpP2
Source: Alexandria
Functional: PBE-GGA
Structure: optimized geometry

a = 3.455 Å, b = 3.455 Å, c = 7.049 Å
α = 90.00°, β = 90.00°, γ = 90.00°
Fractional positions:
Eu1 0.000 0.000 0.000
Np1 0.000 0.000 0.500
P1 0.500 0.500 0.270
P2 0.500 0.500 0.730

Values from the calculation:
E_tot ... -37.033 eV per formula unit
Energy of formation ... -0.75 eV/atom
D(E_F) ... 9.14 states/eV per cell
Volume ... 21.04 Å³/atom
Symmetry ... P4/mmm, No. 123

=====

4.
Compound: EuNpPb2
Source: Alexandria
Functional: PBE-GGA
Structure: optimized geometry

a = 3.517 Å, b = 3.517 Å, c = 9.422 Å
α = 90.00°, β = 90.00°, γ = 90.00°
Fractional positions:
Eu1 0.000 0.000 0.000
Np1 0.000 0.000 0.500
Pb1 0.500 0.500 0.255
Pb2 0.500 0.500 0.745

Values from the calculation:
E_tot ... -31.177 eV per formula unit
Energy of formation ... -0.14 eV/atom
Polymorph energy (0 for the lowest one) ... 0.000 eV per formula unit
D(E_F) ... 6.67 states/eV per cell
Volume ... 29.13 Å³/atom
Symmetry ... P4/mmm, No. 123

=====

5.
Compound: EuNpPb2
Source: Alexandria
Functional: PBE-GGA
Structure: optimized geometry

a = 12.395 Å, b = 12.395 Å, c = 12.395 Å
α = 16.00°, β = 16.00°, γ = 16.00°
Fractional positions:
Eu1 0.000 0.000 0.000
Np1 0.500 0.500 0.500
Pb1 0.090 0.090 0.090
Pb2 0.910 0.910 0.910

Values from the calculation:
E_tot ... -29.656 eV per formula unit
Energy of formation ... 0.24 eV/atom
Polymorph energy (0 for the lowest one) ... 1.521 eV per formula unit
D(E_F) ... 7.82 states/eV per cell
Volume ... 31.52 Å³/atom
Symmetry ... R-3m, No. 166

=====

6.
Compound: EuNpPd4
Source: Alexandria
Functional: PBE-GGA
Structure: optimized geometry

a = 5.483 Å, b = 5.483 Å, c = 5.483 Å
α = 60.00°, β = 60.00°, γ = 60.00°
Fractional positions:
Eu1 0.000 0.000 0.000
Np1 0.750 0.750 0.750
Pd1 0.375 0.375 0.375
Pd2 0.375 0.375 0.874
Pd3 0.375 0.874 0.375
Pd4 0.874 0.375 0.375

Values from the calculation:
E_tot ... -46.663 eV per formula unit
Energy of formation ... -0.45 eV/atom
D(E_F) ... 19.76 states/eV per cell
Volume ... 19.43 Å³/atom
Symmetry ... F-43m, No. 216

=====

7.
Compound: EuNpPd2
Source: Alexandria
Functional: PBE-GGA
Structure: optimized geometry

a = 5.179 Å, b = 5.179 Å, c = 3.328 Å
α = 90.00°, β = 90.00°, γ = 90.00°
Fractional positions:
Eu1 0.000 0.000 0.000
Np1 0.500 0.500 0.000
Pd1 0.000 0.500 0.500
Pd2 0.500 0.000 0.500

Values from the calculation:
E_tot ... -34.791 eV per formula unit
Energy of formation ... -0.30 eV/atom
D(E_F) ... 16.83 states/eV per cell
Volume ... 22.31 Å³/atom
Symmetry ... P4/mmm, No. 123

=====

8.
Compound: EuNpPt4
Source: Alexandria
Functional: PBE-GGA
Structure: optimized geometry

a = 5.473 Å, b = 5.473 Å, c = 5.473 Å
α = 60.00°, β = 60.00°, γ = 60.00°
Fractional positions:
Eu1 0.000 0.000 0.000
Np1 0.750 0.750 0.750
Pt1 0.375 0.375 0.375
Pt2 0.375 0.375 0.875
Pt3 0.375 0.875 0.375
Pt4 0.875 0.375 0.375

Values from the calculation:
E_tot ... -51.958 eV per formula unit
Energy of formation ... -0.76 eV/atom
D(E_F) ... 14.15 states/eV per cell
Volume ... 19.32 Å³/atom
Symmetry ... F-43m, No. 216

=====

Copy entry 3 word for word.
Compound: EuNpP2
Source: Alexandria
Functional: PBE-GGA
Structure: optimized geometry

a = 3.455 Å, b = 3.455 Å, c = 7.049 Å
α = 90.00°, β = 90.00°, γ = 90.00°
Fractional positions:
Eu1 0.000 0.000 0.000
Np1 0.000 0.000 0.500
P1 0.500 0.500 0.270
P2 0.500 0.500 0.730

Values from the calculation:
E_tot ... -37.033 eV per formula unit
Energy of formation ... -0.75 eV/atom
D(E_F) ... 9.14 states/eV per cell
Volume ... 21.04 Å³/atom
Symmetry ... P4/mmm, No. 123

=====

Which of these has the highest volume? Eu6Np

=====

Look up the D(E_F) of the fifth one. 7.82 states/eV per cell

=====

Number 1 is which compound? Eu6Np